Below is crystalline YGe2Sb2 at its relaxed geometry, with properties calculated at the PBE-GGA level.

```
YGe2Sb2
1.0
7.930 0.000 0.000
0.000 7.930 0.000
0.000 0.000 4.101
Y Ge Sb
2 4 4
direct
0.000 0.000 0.000
0.500 0.500 0.000
0.193 0.307 0.500
0.307 0.807 0.500
0.693 0.193 0.500
0.807 0.693 0.500
0.134 0.634 0.000
0.366 0.134 0.000
0.634 0.866 0.000
0.866 0.366 0.000
```

Calculated volume ... 258 Å³ per cell
Formation energy from raw total energies ... -0.09 eV per atom
Density ... 6.2 g/cm3
D(E_F) ... 0.67 states/eV per atom
M_tot ... 0.0 μB/cell

***

Below is crystalline Y2GeSb at its relaxed geometry, with properties calculated at the PBE-GGA level.

```
Y2GeSb
1.0
0.000 3.712 3.712
3.712 0.000 3.712
3.712 3.712 0.000
Y Ge Sb
2 1 1
direct
0.250 0.250 0.250
0.750 0.750 0.750
0.000 0.000 0.000
0.500 0.500 0.500
```

Calculated volume ... 102 Å³ per cell
Formation energy from raw total energies ... -0.66 eV per atom
Density ... 6.0 g/cm3
D(E_F) ... 1.09 states/eV per atom
M_tot ... 0.0 μB/cell

***

Below is crystalline Y2GeSb at its relaxed geometry, with properties calculated at the PBE-GGA level.

```
Y2GeSb
1.0
2.190 -11.615 0.000
2.190 11.615 0.000
0.000 0.000 4.171
Y Ge Sb
4 2 2
direct
0.061 0.939 0.750
0.323 0.677 0.750
0.677 0.323 0.250
0.939 0.061 0.250
0.458 0.542 0.750
0.542 0.458 0.250
0.189 0.811 0.750
0.811 0.189 0.250
```

Calculated volume ... 212 Å³ per cell
Formation energy from raw total energies ... -0.97 eV per atom
Density ... 5.8 g/cm3
D(E_F) ... 0.37 states/eV per atom
M_tot ... 0.0 μB/cell

***

Below is crystalline Y2GeSb2 at its relaxed geometry, with properties calculated at the PBE-GGA level.

```
Y2GeSb2
1.0
7.913 0.000 0.000
0.000 7.913 0.000
0.000 0.000 4.316
Y Ge Sb
4 2 4
direct
0.160 0.340 0.000
0.340 0.840 0.000
0.660 0.160 0.000
0.840 0.660 0.000
0.000 0.000 0.000
0.500 0.500 0.000
0.153 0.653 0.500
0.347 0.153 0.500
0.653 0.847 0.500
0.847 0.347 0.500
```

Calculated volume ... 270 Å³ per cell
Formation energy from raw total energies ... -0.64 eV per atom
Density ... 6.1 g/cm3
D(E_F) ... 0.78 states/eV per atom
M_tot ... 0.0 μB/cell

***

Below is crystalline Y4Ge2Sb at its relaxed geometry, with properties calculated at the PBE-GGA level.

```
Y4Ge2Sb
1.0
-4.676 4.676 4.683
4.676 -4.676 4.683
4.676 4.676 -4.683
Y Ge Sb
8 4 2
direct
0.208 0.275 0.567
0.208 0.640 0.933
0.275 0.208 0.067
0.360 0.792 0.567
0.640 0.208 0.433
0.725 0.792 0.933
0.792 0.360 0.067
0.792 0.725 0.433
0.000 0.500 0.500
0.500 0.000 0.000
0.500 0.500 0.000
0.500 0.500 0.500
0.125 0.875 0.250
0.875 0.125 0.750
```

Calculated volume ... 410 Å³ per cell
Formation energy from raw total energies ... -0.75 eV per atom
Density ... 5.0 g/cm3
D(E_F) ... 0.85 states/eV per atom
M_tot ... 0.0 μB/cell

***

Below is crystalline Y2GeSb at its relaxed geometry, with properties calculated at the PBE-GGA level.

```
Y2GeSb
1.0
2.097 1.210 7.241
-2.097 1.210 7.241
0.000 -2.421 7.241
Y Ge Sb
2 1 1
direct
0.245 0.245 0.245
0.755 0.755 0.755
0.500 0.500 0.500
0.000 0.000 0.000
```

Calculated volume ... 110 Å³ per cell
Formation energy from raw total energies ... -0.91 eV per atom
Density ... 5.6 g/cm3
D(E_F) ... 0.55 states/eV per atom
M_tot ... 0.0 μB/cell

***

Below is crystalline YGe2Sb2 at its relaxed geometry, with properties calculated at the PBE-GGA level.

```
YGe2Sb2
1.0
7.750 0.000 0.000
0.000 7.750 0.000
0.000 0.000 4.054
Y Ge Sb
2 4 4
direct
0.000 0.000 0.000
0.500 0.500 0.000
0.123 0.377 0.000
0.377 0.877 0.000
0.623 0.123 0.000
0.877 0.623 0.000
0.195 0.695 0.500
0.305 0.195 0.500
0.695 0.805 0.500
0.805 0.305 0.500
```

Calculated volume ... 243 Å³ per cell
Formation energy from raw total energies ... -0.19 eV per atom
Density ... 6.5 g/cm3
D(E_F) ... 0.70 states/eV per atom
M_tot ... 0.0 μB/cell

***

Below is crystalline Y2GeSb2 at its relaxed geometry, with properties calculated at the PBE-GGA level.

```
Y2GeSb2
1.0
8.095 0.000 0.000
0.000 8.095 0.000
0.000 0.000 4.148
Y Ge Sb
4 2 4
direct
0.154 0.346 0.000
0.346 0.846 0.000
0.654 0.154 0.000
0.846 0.654 0.000
0.000 0.000 0.500
0.500 0.500 0.500
0.152 0.652 0.500
0.348 0.152 0.500
0.652 0.848 0.500
0.848 0.348 0.500
```

Calculated volume ... 272 Å³ per cell
Formation energy from raw total energies ... -0.65 eV per atom
Density ... 6.0 g/cm3
D(E_F) ... 0.50 states/eV per atom
M_tot ... 0.0 μB/cell

***

Copy entry 1 word for word.
Below is crystalline YGe2Sb2 at its relaxed geometry, with properties calculated at the PBE-GGA level.

```
YGe2Sb2
1.0
7.930 0.000 0.000
0.000 7.930 0.000
0.000 0.000 4.101
Y Ge Sb
2 4 4
direct
0.000 0.000 0.000
0.500 0.500 0.000
0.193 0.307 0.500
0.307 0.807 0.500
0.693 0.193 0.500
0.807 0.693 0.500
0.134 0.634 0.000
0.366 0.134 0.000
0.634 0.866 0.000
0.866 0.366 0.000
```

Calculated volume ... 258 Å³ per cell
Formation energy from raw total energies ... -0.09 eV per atom
Density ... 6.2 g/cm3
D(E_F) ... 0.67 states/eV per atom
M_tot ... 0.0 μB/cell